# 1
# Sr2YHg3, optimized geometry, DFT GGA-PBE
# - Formation enthalpy at 0 K: -3.1 eV per formula unit
# - M_tot: 0.0 μB/f.u.
# - N(E_F): 4.63 states/eV per cell
# - Calculated volume: 178.5 Å³/cell
# - Mass density: 8.1 g/cm³
data_Sr2YHg3
_space_group_name_H-M_alt 'P 4/m m m'
_space_group_IT_number 123
_space_group_name_Hall '-P 4 2'
_cell_length_a 3.887
_cell_length_b 3.887
_cell_length_c 11.812
_cell_angle_alpha 90.00
_cell_angle_beta 90.00
_cell_angle_gamma 90.00
loop_
_atom_site_label
_atom_site_fract_x
_atom_site_fract_y
_atom_site_fract_z
Sr1 0.000 0.000 0.175
Y1 0.000 0.000 0.500
Hg1 0.500 0.500 0.000
Hg2 0.500 0.500 0.355

***

# 2
# SrTcRu2, optimized geometry, DFT GGA-PBE
# - Formation enthalpy at 0 K: 3.0 eV per formula unit
# - M_tot: 0.0 μB/f.u.
# - N(E_F): 8.40 states/eV per cell
# - Calculated volume: 150.8 Å³/cell
# - Mass density: 8.5 g/cm³
# - Energy above the lowest structure with this stoichiometry: 26.2 kJ/mol of atoms
data_SrTcRu2
_space_group_name_H-M_alt 'I m m m'
_space_group_IT_number 71
_space_group_name_Hall '-I 2 2'
_cell_length_a 3.188
_cell_length_b 5.177
_cell_length_c 9.138
_cell_angle_alpha 90.00
_cell_angle_beta 90.00
_cell_angle_gamma 90.00
loop_
_atom_site_label
_atom_site_fract_x
_atom_site_fract_y
_atom_site_fract_z
Sr1 0.000 0.000 0.000
Tc1 0.000 0.000 0.500
Ru1 0.000 0.500 0.208

***

# 3
# La2Pr5Y3, optimized geometry, DFT GGA-PBE
# - Formation enthalpy at 0 K: 2.6 eV per formula unit
# - M_tot: 0.0 μB/f.u.
# - N(E_F): 65.66 states/eV per cell
# - Calculated volume: 1439.2 Å³/cell
# - Mass density: 5.8 g/cm³
# - Energy above the lowest structure with this stoichiometry: 8.2 kJ/mol of atoms
data_La2Pr5Y3
_space_group_name_H-M_alt 'I b a m'
_space_group_IT_number 72
_space_group_name_Hall '-I 2 2c'
_cell_length_a 12.366
_cell_length_b 17.590
_cell_length_c 6.616
_cell_angle_alpha 90.00
_cell_angle_beta 90.00
_cell_angle_gamma 90.00
loop_
_atom_site_label
_atom_site_fract_x
_atom_site_fract_y
_atom_site_fract_z
La1 0.084 0.171 0.000
Pr1 0.000 0.500 0.250
Pr2 0.238 0.332 0.000
Pr3 0.247 0.000 0.250
Y1 0.000 0.000 0.250
Y2 0.094 0.332 0.500

***

# 4
# NaNiN, optimized geometry, DFT GGA-PBE
# - M_tot: 0.0 μB/f.u.
# - N(E_F): 3.93 states/eV per cell
# - Calculated volume: 214.4 Å³/cell
# - Mass density: 3.0 g/cm³
# - Formation energy without anion corrections: 0.199 eV/atom
# - Energy above the lowest structure with this stoichiometry: 17.6 kJ/mol of atoms
data_NaNiN
_space_group_name_H-M_alt 'C m c m'
_space_group_IT_number 63
_space_group_name_Hall '-C 2c 2'
_cell_length_a 5.627
_cell_length_b 5.627
_cell_length_c 6.770
_cell_angle_alpha 90.00
_cell_angle_beta 90.00
_cell_angle_gamma 90.00
loop_
_atom_site_label
_atom_site_fract_x
_atom_site_fract_y
_atom_site_fract_z
Na1 0.000 0.001 0.250
Ni1 0.000 0.500 0.250
N1 0.000 0.500 0.000

***

# 5
# KInPb2, optimized geometry, DFT GGA-PBE
# - Formation enthalpy at 0 K: -0.1 eV per formula unit
# - M_tot: 0.0 μB/f.u.
# - N(E_F): 2.49 states/eV per cell
# - Calculated volume: 125.4 Å³/cell
# - Mass density: 7.5 g/cm³
data_KInPb2
_space_group_name_H-M_alt 'P 4/m m m'
_space_group_IT_number 123
_space_group_name_Hall '-P 4 2'
_cell_length_a 5.064
_cell_length_b 5.064
_cell_length_c 4.889
_cell_angle_alpha 90.00
_cell_angle_beta 90.00
_cell_angle_gamma 90.00
loop_
_atom_site_label
_atom_site_fract_x
_atom_site_fract_y
_atom_site_fract_z
K1 0.000 0.000 0.000
In1 0.500 0.500 0.000
Pb1 0.000 0.500 0.500

***

# 6
# Ac12Cd2Ru5, optimized geometry, DFT GGA-PBE
# - Formation enthalpy at 0 K: -1.9 eV per formula unit
# - M_tot: 0.0 μB/f.u.
# - N(E_F): 29.91 states/eV per cell
# - Calculated volume: 1375.6 Å³/cell
# - Mass density: 8.3 g/cm³
data_Ac12Cd2Ru5
_space_group_name_H-M_alt 'C 1 2/m 1'
_space_group_IT_number 12
_cell_length_a 16.849
_cell_length_b 8.194
_cell_length_c 10.540
_cell_angle_alpha 90.00
_cell_angle_beta 109.01
_cell_angle_gamma 90.00
loop_
_space_group_symop_operation_xyz
'x,y,z'
'-x,-y,-z'
'-x,y,-z'
'x,-y,z'
'x+1/2,y+1/2,z'
'-x+1/2,-y+1/2,-z'
'-x+1/2,y+1/2,-z'
'x+1/2,-y+1/2,z'
loop_
_atom_site_label
_atom_site_fract_x
_atom_site_fract_y
_atom_site_fract_z
Ac1 0.074 0.000 0.317
Ac2 0.088 0.500 0.292
Ac3 0.118 0.247 0.963
Ac4 0.206 0.251 0.663
Cd1 0.000 0.294 0.500
Ru1 0.000 0.500 0.000
Ru2 0.210 0.500 0.126
Ru3 0.238 0.000 0.488

***

The lowest mass density belongs to which entry? NaNiN